# CaPmCd4 PBE relaxed
data_CaPmCd4
_symmetry_space_group_name_H-M 'P 1'
_symmetry_Int_Tables_number 1
_symmetry_space_group_name_Hall 'P 1'
_cell_length_a 3.559
_cell_length_b 6.515
_cell_length_c 8.282
_cell_angle_alpha 114.65
_cell_angle_beta 77.59
_cell_angle_gamma 74.15
loop_
_atom_site_label
_atom_site_fract_x
_atom_site_fract_y
_atom_site_fract_z
Ca1 0.000 0.000 0.000
Pm1 0.500 0.500 0.500
Cd1 0.844 0.476 0.836
Cd2 0.334 0.989 0.343
Cd3 0.156 0.524 0.164
Cd4 0.666 0.011 0.657
# total moment = 0.00 Bohr magnetons per cell
# ΔH_f (0 K) = -0.2521 eV/atom
# Fermi-level density of states = 3.2 states/eV/cell
# E = -0.0730 hartree per atom